No. 1
Density functional theory data (PBE) for a relaxed Cu2ReRu crystal.

Calculated values
Theoretical density, g/cm3: 12.85
Calculated volume, Å³/cell: 54
E_form, eV/atom: 0.3854
Total moment, μB per atom: 0.000
ΔE to the lowest computed polymorph, meV per atom: 253

Cell: 3.6498 3.6498 4.0185 Å, 90.00 90.00 90.00°
Closest atoms and distances in Å follow each position.
Sites, in units of the cell vectors:
Cu 0.0000 0.5000 0.0000  4 Cu 2.58, 4 Ru 2.71, 4 Re 2.71
Cu 0.5000 0.0000 0.0000  4 Cu 2.58, 4 Ru 2.71, 4 Re 2.71
Re 0.0000 0.0000 0.5000  4 Ru 2.58, 8 Cu 2.71
Ru 0.5000 0.5000 0.5000  4 Re 2.58, 8 Cu 2.71

***

No. 2
Density functional theory data (PBE) for a relaxed NaDySn2Br8 crystal.

Calculated values
Theoretical density, g/cm3: 4.16
Calculated volume, Å³/cell: 424
Total moment, μB per atom: 0.000
E_form (uncorrected), kcal/mol of atoms: -28.82

Cell: 6.7894 8.7370 7.1537 Å, 90.00 91.27 90.00°
Closest atoms and distances in Å follow each position.
Sites, in units of the cell vectors:
Na 0.0000 0.0000 0.0000  6 Br 2.98-3.11
Dy 0.0000 0.5000 0.0000  6 Br 2.82
Sn 0.5000 0.2457 0.5000  6 Br 2.89-3.15
Sn 0.5000 0.7543 0.5000  6 Br 2.89-3.15
Br 0.2332 0.2625 0.1543  1 Dy 2.82, 1 Na 2.98, 1 Sn 3.04
Br 0.2332 0.7375 0.1543  1 Dy 2.82, 1 Na 2.98, 1 Sn 3.04
Br 0.2353 0.5000 0.6798  1 Dy 2.82, 2 Sn 3.15
Br 0.2708 0.0000 0.6545  2 Sn 2.89, 1 Na 3.11
Br 0.7292 0.0000 0.3455  2 Sn 2.89, 1 Na 3.11
Br 0.7647 0.5000 0.3202  1 Dy 2.82, 2 Sn 3.15
Br 0.7668 0.2625 0.8457  1 Dy 2.82, 1 Na 2.98, 1 Sn 3.04
Br 0.7668 0.7375 0.8457  1 Dy 2.82, 1 Na 2.98, 1 Sn 3.04

***

No. 3
Density functional theory data (PBE) for a relaxed KIr2Cl crystal.

Calculated values
Theoretical density, g/cm3: 8.35
Calculated volume, Å³/cell: 91
Total moment, μB per atom: 0.000
E_form (uncorrected), kcal/mol of atoms: 9.19
ΔE to the lowest computed polymorph, meV per atom: 352

Cell: 7.5958 7.5958 4.5403 Å, 99.83 99.83 20.72°
Closest atoms and distances in Å follow each position.
Sites, in units of the cell vectors:
K 0.0000 0.0000 0.0000  4 Cl 2.65, 2 K 2.73
Ir 0.2336 0.2336 0.7420  6 Ir 2.68-2.73
Ir 0.7664 0.7664 0.2580  6 Ir 2.68-2.73
Cl 0.5000 0.5000 0.5000  4 K 2.65, 2 Cl 2.73